Record 1
# TmSc7, relaxed, DFT PBE
data_TmSc7
_chemical_formula_sum 'Tm4 Sc28'
_space_group_name_H-M_alt 'F m -3 m'
_space_group_IT_number 225
_space_group_name_Hall '-F 4 2 3'
_cell_length_a 9.299
_cell_length_b 9.299
_cell_length_c 9.299
_cell_angle_alpha 90.00
_cell_angle_beta 90.00
_cell_angle_gamma 90.00
loop_
_atom_site_label
_atom_site_type_symbol
_atom_site_fract_x
_atom_site_fract_y
_atom_site_fract_z
Tm1 Tm 0.000 0.000 0.000
Sc1 Sc 0.000 0.000 0.500
Sc2 Sc 0.000 0.250 0.250
# Crystal system = cubic
# Theoretical density = 3.99 g cm⁻³
# D(E_F) = 66.5 states/eV/cell
# Calculated formation energy = 0.4 eV per formula unit

***

Record 2
# TmSc, relaxed, DFT PBE
data_TmSc
_chemical_formula_sum 'Tm4 Sc4'
_space_group_name_H-M_alt 'C 1 2/m 1'
_space_group_IT_number 12
_cell_length_a 11.197
_cell_length_b 3.380
_cell_length_c 5.832
_cell_angle_alpha 90.00
_cell_angle_beta 100.17
_cell_angle_gamma 90.00
loop_
_space_group_symop_operation_xyz
'x,y,z'
'-x,-y,-z'
'-x,y,-z'
'x,-y,z'
'x+1/2,y+1/2,z'
'-x+1/2,-y+1/2,-z'
'-x+1/2,y+1/2,-z'
'x+1/2,-y+1/2,z'
loop_
_atom_site_label
_atom_site_type_symbol
_atom_site_fract_x
_atom_site_fract_y
_atom_site_fract_z
Tm1 Tm 0.123 0.000 0.371
Sc1 Sc 0.128 0.500 0.878
# Crystal system = monoclinic
# Theoretical density = 6.54 g cm⁻³
# Polymorph energy (0 for the lowest one) = 0.033 eV per atom
# D(E_F) = 12.6 states/eV/cell
# Calculated formation energy = 0.1 eV per formula unit

***

Record 3
# Tm5Sc, relaxed, DFT PBE
data_Tm5Sc
_chemical_formula_sum 'Tm10 Sc2'
_space_group_name_H-M_alt 'C m m m'
_space_group_IT_number 65
_space_group_name_Hall '-C 2 2'
_cell_length_a 4.880
_cell_length_b 14.642
_cell_length_c 4.876
_cell_angle_alpha 90.00
_cell_angle_beta 90.00
_cell_angle_gamma 90.00
loop_
_atom_site_label
_atom_site_type_symbol
_atom_site_fract_x
_atom_site_fract_y
_atom_site_fract_z
Tm1 Tm 0.000 0.000 0.000
Tm2 Tm 0.000 0.164 0.500
Tm3 Tm 0.000 0.335 0.000
Sc1 Sc 0.000 0.500 0.500
# Crystal system = orthorhombic
# Theoretical density = 8.48 g cm⁻³
# D(E_F) = 16.9 states/eV/cell
# Calculated formation energy = 0.2 eV per formula unit